Entry 1:
Er4Lu2Bi2Os: optimized geometry, PBE.

Lattice parameters (Å, degrees): 4.216 14.184 8.174 90.00 90.00 90.00
Space group Amm2 (No. 38)
Symmetry-distinct sites (fractional):
Er  0.000  0.000  0.000 x2
Er  0.000  0.193  0.424 x4
Er  0.500  0.000  0.384 x2
Lu  0.500  0.116  0.732 x4
Bi  0.500  0.167  0.115 x4
Os  0.000  0.000  0.620 x2

Summary:
- Volume: 27.15 Å³ per atom
- DFT total energy: -5.7473 eV per atom
- Crystal system: orthorhombic

Entry 2:
TmIrNO: optimized geometry, PBE.

Lattice parameters (Å, degrees): 3.900 3.900 7.113 90.00 90.00 90.00
Space group P4/nmm (No. 129, origin choice 2)
Symmetry-distinct sites (fractional):
Tm  0.250  0.250  0.144 x2
Ir  0.250  0.750  0.500 x2
N  0.250  0.250  0.616 x2
O  0.250  0.750  0.000 x2

Summary:
- Volume: 13.52 Å³ per atom
- Offset from the most stable computed form: 0.3541 eV per atom
- DFT total energy: -7.8787 eV per atom
- Crystal system: tetragonal

Entry 3:
BaTmAuSe3: optimized geometry, PBE.

Lattice parameters (Å, degrees): 8.227 4.176 10.032 90.00 107.47 90.00
Space group P2_1/m (No. 11)
Symmetry-distinct sites (fractional):
Ba  0.240  0.250  0.285 x2
Tm  0.312  0.750  0.843 x2
Au  0.093  0.250  0.602 x2
Se  0.079  0.250  0.859 x2
Se  0.281  0.750  0.551 x2
Se  0.443  0.750  0.138 x2

Summary:
- Volume: 27.40 Å³ per atom
- DFT total energy: -4.8351 eV per atom
- Crystal system: monoclinic

Entry 4:
ZnPtSeO: optimized geometry, PBE.

Lattice parameters (Å, degrees): 4.993 6.925 7.845 90.00 90.00 90.00
Space group P2_12_12_1 (No. 19)
Symmetry-distinct sites (fractional):
Zn  0.199  0.131  0.439 x4
Pt  0.137  0.771  0.394 x4
Se  0.105  0.664  0.685 x4
O  0.084  0.806  0.132 x4

Summary:
- Volume: 16.95 Å³ per atom
- Offset from the most stable computed form: 0.0507 eV per atom
- DFT total energy: -4.3953 eV per atom
- Crystal system: orthorhombic